No. 1
The following is a PBE calculation of a relaxed structure of Sr2Tl3Sn, from Alexandria via LeMat-Bulk.

```
6
Lattice="6.1626 -2.5215 0.0000 6.1626 2.5215 0.0000 -5.1771 0.0000 6.3026" Properties=species:S:1:pos:R:3 pbc="T T T"
Sr 0.0000 0.0000 0.0000
Sr -1.9520 0.0000 3.7705
Tl 3.5473 0.0000 1.4334
Tl 6.8395 0.0000 2.3053
Tl 3.7804 0.0000 6.0690
Sn 1.4943 0.0000 3.9491
```

Computed properties:
The calculation puts the electronic total energy at -2.789 eV per atom. Its calculated formation energy is -0.378 eV per atom. The energy above the most stable polymorph in this dataset comes out at 0.0000 eV per atom.

=====

No. 2
The following is a PBE calculation of a relaxed structure of CaB2AsS, from Alexandria via LeMat-Bulk.

```
5
Lattice="4.8428 0.0000 0.0000 0.0000 4.8428 0.0000 0.0000 0.0000 5.5107" Properties=species:S:1:pos:R:3 pbc="T T T"
Ca 0.0000 0.0000 0.0000
B 0.0000 2.4214 0.0000
B 2.4214 0.0000 0.0000
As 0.0000 0.0000 2.7554
S 2.4214 2.4214 2.7554
```

Computed properties:
The calculation puts the electronic total energy at -2.607 eV per atom. As for the raw formation energy: 1071 kJ/mol of formula units.

=====

No. 3
The following is a PBE calculation of a relaxed structure of BeCr4Si, from Alexandria via LeMat-Bulk.

```
6
Lattice="0.0000 3.2950 3.2950 3.2950 0.0000 3.2950 3.2950 3.2950 0.0000" Properties=species:S:1:pos:R:3 pbc="T T T"
Be 0.0000 0.0000 0.0000
Cr 2.4640 2.4640 2.4640
Cr 4.1261 4.1261 2.4640
Cr 4.1261 2.4640 4.1261
Cr 2.4640 4.1261 4.1261
Si 4.9426 4.9426 4.9426
```

Computed properties:
The calculation puts the electronic total energy at -7.605 eV per atom. As for the raw formation energy: 194 kJ/mol of formula units.

=====

No. 4
The following is a PBE calculation of a relaxed structure of InF, from Alexandria via LeMat-Bulk.

```
12
Lattice="10.0225 0.0000 0.0000 -5.0112 8.6797 0.0000 0.0000 0.0000 3.5377" Properties=species:S:1:pos:R:3 pbc="T T T"
In -1.0569 3.4160 0.8844
In -1.5244 7.8869 0.8844
In 2.4299 2.6233 2.6532
In 2.5813 6.0564 0.8844
In 6.5356 0.7928 2.6532
In 6.0681 5.2637 2.6532
F -1.6140 4.9388 2.6532
F 1.5411 4.8125 2.6532
F 0.0729 7.6081 2.6532
F 4.9383 1.0716 0.8844
F 3.4701 3.8672 0.8844
F 6.6252 3.7409 0.8844
```

Computed properties:
The calculation puts the electronic total energy at -3.943 eV per atom. As for the raw formation energy: -316 kJ/mol of formula units.

=====

No. 5
The following is a PBE calculation of a relaxed structure of Tb2Pm12Pr5, from Alexandria via LeMat-Bulk.

```
19
Lattice="7.9344 -5.2530 0.0000 7.9344 5.2530 0.0000 -0.2437 0.0000 8.0383" Properties=species:S:1:pos:R:3 pbc="T T T"
Tb 7.9344 2.6324 0.0000
Tb 7.9344 -2.6324 0.0000
Pm 4.8523 2.8327 1.6476
Pm 2.2547 0.0000 0.8967
Pm 6.1113 2.3490 4.9070
Pm 9.5138 2.3490 3.1313
Pm 10.7728 2.8327 6.3907
Pm 7.0532 0.0000 2.3494
Pm 8.5719 0.0000 5.6889
Pm 4.8523 -2.8327 1.6476
Pm 6.1113 -2.3490 4.9070
Pm 9.5138 -2.3490 3.1313
Pm 13.3704 0.0000 7.1416
Pm 10.7728 -2.8327 6.3907
Pr -0.1218 0.0000 4.0191
Pr 3.7588 0.0000 3.8678
Pr 5.3107 0.0000 7.3929
Pr 10.3144 0.0000 0.6453
Pr 11.8663 0.0000 4.1704
```

Computed properties:
The calculation puts the electronic total energy at -4.625 eV per atom. Its calculated formation energy is 0.121 eV per atom. The energy above the most stable polymorph in this dataset comes out at 0.0000 eV per atom.

=====

No. 6
The following is a PBE calculation of a relaxed structure of BaHgP2O, from Alexandria via LeMat-Bulk.

```
5
Lattice="5.0702 0.0000 0.0000 0.0000 5.0702 0.0000 0.0000 0.0000 4.6452" Properties=species:S:1:pos:R:3 pbc="T T T"
Ba 0.0000 0.0000 0.0000
Hg 2.5351 2.5351 2.3226
P 0.0000 2.5351 2.3226
P 2.5351 0.0000 2.3226
O 2.5351 2.5351 0.0000
```

Computed properties:
The calculation puts the electronic total energy at -3.507 eV per atom. The energy above the most stable polymorph in this dataset comes out at 0.0000 eV per atom. As for the raw formation energy: 45 kJ/mol of formula units.

=====

No. 7
The following is a PBE calculation of a relaxed structure of BeCdSi2, from Alexandria via LeMat-Bulk.

```
4
Lattice="4.0352 -1.4558 0.0000 4.0352 1.4558 0.0000 -2.2530 0.0000 5.8591" Properties=species:S:1:pos:R:3 pbc="T T T"
Be 0.0000 0.0000 0.0000
Cd 2.1675 0.0000 3.4270
Si 4.4109 0.0000 1.8864
Si 3.5875 0.0000 5.7645
```

Computed properties:
The calculation puts the electronic total energy at -3.478 eV per atom. The energy above the most stable polymorph in this dataset comes out at 0.0208 eV per atom. As for the raw formation energy: 152 kJ/mol of formula units.

=====

No. 8
The following is a PBE calculation of a relaxed structure of TlCoNi3, from Alexandria via LeMat-Bulk.

```
5
Lattice="4.3444 0.0000 0.0000 0.0000 4.3444 0.0000 0.0000 0.0000 4.3444" Properties=species:S:1:pos:R:3 pbc="T T T"
Tl 0.0000 0.0000 0.0000
Co 2.1722 2.1722 2.1722
Ni 0.0000 2.1722 2.1722
Ni 2.1722 0.0000 2.1722
Ni 2.1722 2.1722 0.0000
```

Computed properties:
The calculation puts the electronic total energy at -4.544 eV per atom. Its calculated formation energy is 0.819 eV per atom. The energy above the most stable polymorph in this dataset comes out at 0.0000 eV per atom.

=====

No. 9
The following is a PBE calculation of a relaxed structure of PrDy3ThSc, from Alexandria via LeMat-Bulk.

```
12
Lattice="7.8899 0.0000 0.0000 0.0000 5.0285 0.0000 -3.2279 0.0000 9.4466" Properties=species:S:1:pos:R:3 pbc="T T T"
Pr 0.4180 1.2571 2.8048
Pr 4.2440 3.7713 6.6418
Dy 1.2465 3.7713 0.4365
Dy -0.3533 3.7713 5.1274
Dy -1.1451 1.2571 7.4702
Dy 5.8071 3.7713 1.9764
Dy 5.0153 1.2571 4.3192
Dy 3.4154 1.2571 9.0101
Th 1.1014 3.7713 8.2762
Th 3.5605 1.2571 1.1704
Sc 1.9120 1.2571 5.9260
Sc 2.7499 3.7713 3.5206
```

Computed properties:
The calculation puts the electronic total energy at -5.347 eV per atom. Its calculated formation energy is 0.043 eV per atom.

=====

Which value of electronic total energy does entry 1 give?
-2.789 eV per atom